! Ag3C PBE relaxed; values from VASP
&SYSTEM
  ibrav = 0, nat = 4, ntyp = 2
/
ATOMIC_SPECIES
Ag 107.87 Ag.upf
C 12.01 C.upf
CELL_PARAMETERS angstrom
2.928 0.000 0.000
0.000 2.928 0.000
0.000 0.000 7.062
ATOMIC_POSITIONS crystal
Ag 0.000 0.000 0.000
Ag 0.500 0.500 0.300
Ag 0.500 0.500 0.700
C 0.000 0.000 0.500
! Offset from the most stable computed form: 610 meV/atom
! Crystal system: tetragonal
! DOS(E_F): 1.47 states/eV per cell